Computed, not measured: CaTl3Os after structural relaxation at the PBE-GGA level of DFT.

Unit cell a=5.769 b=5.769 c=5.769 alpha=90.00 beta=90.00 gamma=90.00
Fractional positions:
Ca (0.000, 0.000, 0.000)
Tl (0.000, 0.000, 0.500)
Tl (0.000, 0.500, 0.000)
Tl (0.500, 0.000, 0.000)
Os (0.500, 0.500, 0.500)

Computed properties:
**Spin magnetization**: 2.88 μB per cell
**Energy above the most stable polymorph in this dataset**: 1376 meV/atom
**Energy relative to the elements**: 1719 meV/atom